(1)
Hg2Bi3Pb8 after structural relaxation, computed with PBE.

Output
As for the energy relative to the lowest polymorph listed for this composition: 0.07 eV/f.u. The volume is 836.9 Å³/cell.

Cell and atoms, written as CIF:
```
data_Hg2Bi3Pb8
_space_group_name_H-M_alt 'P 1'
_space_group_IT_number 1
_cell_length_a 12.843
_cell_length_b 4.826
_cell_length_c 13.503
_cell_angle_alpha 90.00
_cell_angle_beta 90.06
_cell_angle_gamma 90.00
loop_
_space_group_symop_operation_xyz
'x,y,z'
loop_
_atom_site_label
_atom_site_fract_x
_atom_site_fract_y
_atom_site_fract_z
Hg1 0.100 0.000 0.231
Hg2 0.399 0.000 0.731
Hg3 0.601 0.000 0.269
Hg4 0.900 0.000 0.769
Bi1 0.000 0.500 0.000
Bi2 0.140 0.500 0.397
Bi3 0.359 0.500 0.897
Bi4 0.500 0.500 0.500
Bi5 0.641 0.500 0.103
Bi6 0.860 0.500 0.603
Pb1 0.070 0.500 0.763
Pb2 0.099 0.000 0.573
Pb3 0.173 0.000 0.928
Pb4 0.219 0.500 0.123
Pb5 0.281 0.500 0.622
Pb6 0.327 0.000 0.427
Pb7 0.401 0.000 0.073
Pb8 0.431 0.500 0.263
Pb9 0.569 0.500 0.737
Pb10 0.599 0.000 0.927
Pb11 0.673 0.000 0.573
Pb12 0.719 0.500 0.378
Pb13 0.781 0.500 0.877
Pb14 0.827 0.000 0.072
Pb15 0.901 0.000 0.427
Pb16 0.930 0.500 0.237
```

(2)
Hg3BiPb3 after structural relaxation, computed with PBE.

Output
As for the energy relative to the lowest polymorph listed for this composition: 0.02 eV/f.u. The volume is 407.7 Å³/cell.

Cell and atoms, written as CIF:
```
data_Hg3BiPb3
_space_group_name_H-M_alt 'P 1'
_space_group_IT_number 1
_cell_length_a 9.184
_cell_length_b 9.184
_cell_length_c 5.582
_cell_angle_alpha 90.00
_cell_angle_beta 90.00
_cell_angle_gamma 120.00
loop_
_space_group_symop_operation_xyz
'x,y,z'
loop_
_atom_site_label
_atom_site_fract_x
_atom_site_fract_y
_atom_site_fract_z
Hg1 0.040 0.817 0.250
Hg2 0.183 0.223 0.250
Hg3 0.223 0.040 0.750
Hg4 0.777 0.960 0.250
Hg5 0.817 0.777 0.750
Hg6 0.960 0.183 0.750
Bi1 0.333 0.667 0.250
Bi2 0.667 0.333 0.750
Pb1 0.086 0.633 0.750
Pb2 0.367 0.453 0.750
Pb3 0.453 0.086 0.250
Pb4 0.547 0.914 0.750
Pb5 0.633 0.547 0.250
Pb6 0.914 0.367 0.250
```